Na2Pr2PaS6 | GGA-PBE | optimized geometry

Cell and atoms, written as CIF:
```
data_Na2Pr2PaS6
_chemical_formula_sum 'Na2 Pr2 Pa1 S6'
_symmetry_space_group_name_H-M 'P 1'
_symmetry_Int_Tables_number 1
_symmetry_space_group_name_Hall 'P 1'
_cell_length_a 7.1311
_cell_length_b 7.1311
_cell_length_c 7.1157
_cell_angle_alpha 99.61
_cell_angle_beta 99.61
_cell_angle_gamma 119.40
loop_
_atom_site_label
_atom_site_fract_x
_atom_site_fract_y
_atom_site_fract_z
Pa1 0.0000 0.0000 0.5000
S1 0.9306 0.6078 0.2747
Pr1 0.6649 0.3351 0.5000
S2 0.7630 0.7630 0.7253
S3 0.0694 0.3922 0.7253
Na1 0.1683 0.8317 0.0000
S4 0.6078 0.9306 0.2747
Na2 0.8317 0.1683 0.0000
S5 0.2370 0.2370 0.2747
Pr2 0.3351 0.6649 0.5000
S6 0.3922 0.0694 0.7253
```

Calculated values
- DOS at the Fermi energy: 2.395 states/eV/f.u.
- Symmetry: C2/m (12)
- Energy relative to the elements, uncorrected: -1718 meV per atom
- Total moment: 1.054 μB per cell

Cs2Rb5Au2 | GGA-PBE | optimized geometry

Cell and atoms, written as CIF:
```
data_Cs2Rb5Au2
_chemical_formula_sum 'Cs2 Rb5 Au2'
_symmetry_space_group_name_H-M 'P 1'
_symmetry_Int_Tables_number 1
_symmetry_space_group_name_Hall 'P 1'
_cell_length_a 5.2154
_cell_length_b 8.6504
_cell_length_c 15.0055
_cell_angle_alpha 85.02
_cell_angle_beta 90.00
_cell_angle_gamma 107.55
loop_
_atom_site_label
_atom_site_fract_x
_atom_site_fract_y
_atom_site_fract_z
Cs1 0.5653 0.1306 0.7225
Cs2 0.4347 0.8694 0.2775
Rb1 0.1435 0.2871 0.4255
Rb2 0.2934 0.5868 0.8639
Rb3 0.7066 0.4132 0.1361
Rb4 0.0000 0.0000 0.0000
Au1 0.9221 0.8443 0.7874
Rb5 0.8565 0.7129 0.5745
Au2 0.0779 0.1557 0.2126
```

Calculated values
- DOS at the Fermi energy: 6.396 states/eV/f.u.
- ΔH_f (0 K): -141 meV/atom
- Symmetry: C2/m (12)
- Total moment: 0.000 μB per cell

Rb2TeOs | GGA-PBE | optimized geometry

Cell and atoms, written as CIF:
```
data_Rb2TeOs
_chemical_formula_sum 'Rb4 Te2 Os2'
_symmetry_space_group_name_H-M 'P 1'
_symmetry_Int_Tables_number 1
_symmetry_space_group_name_Hall 'P 1'
_cell_length_a 4.4227
_cell_length_b 4.4227
_cell_length_c 12.5222
_cell_angle_alpha 79.83
_cell_angle_beta 79.83
_cell_angle_gamma 90.00
loop_
_atom_site_label
_atom_site_fract_x
_atom_site_fract_y
_atom_site_fract_z
Rb1 0.6286 0.1250 0.2500
Rb2 0.3750 0.3714 0.7500
Os1 0.7500 0.2500 0.5000
Rb3 0.1214 0.6250 0.2500
Te1 0.2500 0.7500 0.5000
Te2 0.5000 0.5000 0.0000
Os2 0.0000 0.0000 0.0000
Rb4 0.8750 0.8786 0.7500
```

Calculated values
- DOS at the Fermi energy: 5.472 states/eV/f.u.
- Symmetry: I-42d (122)
- Energy relative to the elements, uncorrected: 1103 meV per atom
- Total moment: 2.914 μB per cell

BaMn2Cr3S8 | GGA-PBE | optimized geometry

Cell and atoms, written as CIF:
```
data_BaMn2Cr3S8
_chemical_formula_sum 'Ba1 Mn2 Cr3 S8'
_symmetry_space_group_name_H-M 'P 1'
_symmetry_Int_Tables_number 1
_symmetry_space_group_name_Hall 'P 1'
_cell_length_a 7.6646
_cell_length_b 7.6646
_cell_length_c 7.2791
_cell_angle_alpha 58.23
_cell_angle_beta 58.23
_cell_angle_gamma 60.00
loop_
_atom_site_label
_atom_site_fract_x
_atom_site_fract_y
_atom_site_fract_z
S1 0.7371 0.7371 0.7886
Cr1 0.5058 0.5058 0.0066
Cr2 0.9819 0.5058 0.0066
Ba1 0.9248 0.9248 0.2255
Cr3 0.5058 0.9819 0.0066
Mn1 0.4859 0.4859 0.5423
S2 0.3319 0.7099 0.2483
Mn2 0.1263 0.1263 0.6210
S3 0.7208 0.2455 0.7881
S4 0.2455 0.2455 0.7881
S5 0.7099 0.7099 0.2483
S6 0.2455 0.7208 0.7881
S7 0.7099 0.3319 0.2483
S8 0.2615 0.2615 0.2156
```

Calculated values
- DOS at the Fermi energy: 4.397 states/eV/f.u.
- Symmetry: R3m (160)
- Energy relative to the elements, uncorrected: -698 meV per atom
- Total moment: 18.040 μB per cell

BaIr2Os | GGA-PBE | optimized geometry

Cell and atoms, written as CIF:
```
data_BaIr2Os
_chemical_formula_sum 'Ba1 Ir2 Os1'
_symmetry_space_group_name_H-M 'P 1'
_symmetry_Int_Tables_number 1
_symmetry_space_group_name_Hall 'P 1'
_cell_length_a 4.4568
_cell_length_b 4.4568
_cell_length_c 6.3083
_cell_angle_alpha 69.33
_cell_angle_beta 69.33
_cell_angle_gamma 60.00
loop_
_atom_site_label
_atom_site_fract_x
_atom_site_fract_y
_atom_site_fract_z
Ir1 0.4333 0.4333 0.7000
Os1 0.7500 0.7500 0.7500
Ba1 0.2500 0.2500 0.2500
Ir2 0.0667 0.0667 0.8000
```

Calculated values
- DOS at the Fermi energy: 3.929 states/eV/f.u.
- ΔH_f (0 K): 119 meV/atom
- Symmetry: R-3m (166)
- Excess energy over the best structure of this formula in the dataset: 0 meV per atom
- Total moment: 0.000 μB per cell

Be2CrIr2 | GGA-PBE | optimized geometry

Cell and atoms, written as CIF:
```
data_Be2CrIr2
_chemical_formula_sum 'Be2 Cr1 Ir2'
_symmetry_space_group_name_H-M 'P 1'
_symmetry_Int_Tables_number 1
_symmetry_space_group_name_Hall 'P 1'
_cell_length_a 2.8793
_cell_length_b 2.8793
_cell_length_c 7.2388
_cell_angle_alpha 78.53
_cell_angle_beta 78.53
_cell_angle_gamma 90.00
loop_
_atom_site_label
_atom_site_fract_x
_atom_site_fract_y
_atom_site_fract_z
Ir1 0.3834 0.3834 0.2332
Ir2 0.6166 0.6166 0.7668
Be1 0.2500 0.7500 0.5000
Be2 0.7500 0.2500 0.5000
Cr1 0.0000 0.0000 0.0000
```

Calculated values
- DOS at the Fermi energy: 2.911 states/eV/f.u.
- ΔH_f (0 K): -183 meV/atom
- Symmetry: I4/mmm (139)
- Excess energy over the best structure of this formula in the dataset: 191 meV per atom
- Total moment: 0.000 μB per cell

Li5TlCd8 | GGA-PBE | optimized geometry

Cell and atoms, written as CIF:
```
data_Li5TlCd8
_chemical_formula_sum 'Li5 Tl1 Cd8'
_symmetry_space_group_name_H-M 'P 1'
_symmetry_Int_Tables_number 1
_symmetry_space_group_name_Hall 'P 1'
_cell_length_a 7.3628
_cell_length_b 7.3628
_cell_length_c 7.3628
_cell_angle_alpha 112.72
_cell_angle_beta 103.15
_cell_angle_gamma 112.72
loop_
_atom_site_label
_atom_site_fract_x
_atom_site_fract_y
_atom_site_fract_z
Li1 0.7979 0.6668 0.7171
Cd1 0.1379 0.7407 0.0942
Cd2 0.6598 0.4029 0.9166
Cd3 0.3535 0.2593 0.3972
Li2 0.0504 0.3332 0.1311
Cd4 0.9058 0.0437 0.6465
Cd5 0.6028 0.9563 0.8621
Cd6 0.7431 0.2568 0.3402
Tl1 0.2500 0.5000 0.7500
Cd7 0.5137 0.5971 0.2569
Li3 0.2829 0.0807 0.9496
Li4 0.5000 0.0000 0.5000
Cd8 0.0834 0.7432 0.4863
Li5 0.8689 0.9193 0.2021
```

Calculated values
- DOS at the Fermi energy: 4.904 states/eV/f.u.
- ΔH_f (0 K): -101 meV/atom
- Symmetry: I-4 (82)
- Total moment: 0.000 μB per cell

BIr2PbBr | GGA-PBE | optimized geometry

Cell and atoms, written as CIF:
```
data_BIr2PbBr
_chemical_formula_sum 'B1 Ir2 Pb1 Br1'
_symmetry_space_group_name_H-M 'P 1'
_symmetry_Int_Tables_number 1
_symmetry_space_group_name_Hall 'P 1'
_cell_length_a 4.1167
_cell_length_b 6.1303
_cell_length_c 4.1167
_cell_angle_alpha 90.00
_cell_angle_beta 90.00
_cell_angle_gamma 90.00
loop_
_atom_site_label
_atom_site_fract_x
_atom_site_fract_y
_atom_site_fract_z
Ir1 0.0000 0.0000 0.5000
Ir2 0.5000 0.0000 0.0000
B1 0.0000 0.0000 0.0000
Pb1 0.5000 0.5000 0.5000
Br1 0.0000 0.5000 0.0000
```

Calculated values
- DOS at the Fermi energy: 5.219 states/eV/f.u.
- Symmetry: P4/mmm (123)
- Energy relative to the elements, uncorrected: 553 meV per atom
- Total moment: 1.333 μB per cell